VASP calculation (PBE-GGA) on crystalline Dy3Se3I at its relaxed geometry.

Cell: 8.105 8.105 9.354 Å, 64.33 64.33 60.00°
Sites, in units of the cell vectors:
Dy 0.199 0.637 0.302
Dy 0.862 0.199 0.302
Dy 0.637 0.862 0.302
Dy 0.363 0.138 0.698
Dy 0.138 0.801 0.698
Dy 0.801 0.363 0.698
Se 0.521 0.760 0.651
Se 0.760 0.068 0.651
Se 0.068 0.521 0.651
Se 0.932 0.479 0.349
Se 0.240 0.932 0.349
Se 0.479 0.240 0.349
I 0.353 0.353 0.942
I 0.647 0.647 0.058

mass density = 6.14 Mg/m³
space group = R-3
uncorrected energy = -71.00 eV/cell
uncorrected formation energy = -1.3845 eV per atom
DOS at the Fermi energy = 4.59 states/eV per cell

***

VASP calculation (PBE-GGA) on crystalline K4Er3BiO8 at its relaxed geometry.

Cell: 6.980 7.447 6.980 Å, 117.95 120.00 90.00°
Sites, in units of the cell vectors:
K 0.500 0.000 0.000
K 0.500 0.000 0.500
K 0.000 0.000 0.000
K 0.000 0.000 0.500
Er 0.500 0.500 0.000
Er 0.500 0.500 0.500
Er 0.000 0.500 0.500
Bi 0.000 0.500 0.000
O 0.237 0.689 0.952
O 0.237 0.689 0.474
O 0.272 0.317 0.545
O 0.715 0.689 0.952
O 0.285 0.311 0.048
O 0.728 0.683 0.455
O 0.763 0.311 0.526
O 0.763 0.311 0.048

mass density = 6.25 Mg/m³
space group = R-3m
uncorrected energy = -100.53 eV/cell
uncorrected formation energy = -2.4313 eV per atom
DOS at the Fermi energy = 0.00 states/eV per cell

***

VASP calculation (PBE-GGA) on crystalline Ba2MnAu at its relaxed geometry.

Cell: 4.107 4.074 9.009 Å, 63.11 90.00 90.00°
Each line ends with the local moment (μB).
Sites, in units of the cell vectors:
Au 0.500 0.750 0.750  -0.02
Ba 0.000 0.007 0.992  -0.10
Ba 0.000 0.493 0.508  -0.10
Mn 0.500 0.250 0.250  3.99

mass density = 6.51 Mg/m³
space group = Pmmm
energy relative to the lowest polymorph listed for this composition = 0.332 eV per formula unit
uncorrected energy = -16.26 eV/cell
DFT formation energy = 0.030 eV per formula unit
DOS at the Fermi energy = 3.27 states/eV per cell

***

VASP calculation (PBE-GGA) on crystalline NiP at its relaxed geometry.

Cell: 9.439 9.439 3.584 Å, 90.00 90.00 90.00°
Sites, in units of the cell vectors:
Ni 0.793 0.390 0.500
Ni 0.207 0.610 0.500
Ni 0.610 0.793 0.500
Ni 0.390 0.207 0.500
Ni 0.878 0.564 0.000
Ni 0.122 0.436 0.000
Ni 0.436 0.878 0.000
Ni 0.564 0.122 0.000
P 0.762 0.623 0.500
P 0.238 0.377 0.500
P 0.377 0.762 0.500
P 0.623 0.238 0.500
P 0.917 0.332 0.000
P 0.083 0.668 0.000
P 0.668 0.917 0.000
P 0.332 0.083 0.000

mass density = 3.73 Mg/m³
space group = P4/m
uncorrected energy = -92.36 eV/cell
DFT formation energy = -0.353 eV per formula unit
DOS at the Fermi energy = 8.28 states/eV per cell

***

Q: What is the uncorrected energy in the second record?
A: -100.53 eV/cell

***

Q: Which of these has the highest mass density?
A: Ba2MnAu